# 1
ZrAl2V: optimized geometry, PBE-GGA.

M_tot = 0.067 μB/atom
formation energy = -279 meV/atom
ΔE to the lowest computed polymorph = 0.0 meV per atom

a b c (Å): 4.019 4.019 4.189
angles (deg): 90.00 90.00 90.00
Space group P4/mmm (No. 123)
Symmetry-distinct sites (fractional):
1 Zr 0.000 0.000 0.000 x1
2 Al 0.000 0.500 0.500 x2
3 V 0.500 0.500 0.000 x1

# 2
ZrAl3V: optimized geometry, PBE-GGA.

M_tot = 0.000 μB/atom
formation energy = 424 meV/atom
ΔE to the lowest computed polymorph = 434.7 meV per atom

a b c (Å): 4.625 4.625 4.625
angles (deg): 90.00 90.00 90.00
Space group Pm-3m (No. 221)
Symmetry-distinct sites (fractional):
1 Zr 0.000 0.000 0.000 x1
2 Al 0.000 0.500 0.500 x3
3 V 0.500 0.500 0.500 x1

# 3
ZrAl3V: optimized geometry, PBE-GGA.

M_tot = 0.200 μB/atom
formation energy = -10 meV/atom
ΔE to the lowest computed polymorph = 0.0 meV per atom

a b c (Å): 3.748 3.748 12.820
angles (deg): 90.00 90.00 90.00
Space group I4mm (No. 107)
Symmetry-distinct sites (fractional):
1 Zr 0.000 0.000 0.000 x2
2 Al 0.000 0.000 0.388 x2
3 Al 0.000 0.500 0.231 x4
4 V 0.000 0.000 0.589 x2

# 4
ZrAl2V2: optimized geometry, PBE-GGA.

M_tot = 0.000 μB/atom
formation energy = 67 meV/atom
ΔE to the lowest computed polymorph = 249.0 meV per atom

a b c (Å): 4.017 4.017 10.724
angles (deg): 90.00 90.00 90.00
Space group I4/mmm (No. 139)
Symmetry-distinct sites (fractional):
1 Zr 0.000 0.000 0.000 x2
2 Al 0.000 0.500 0.250 x4
3 V 0.000 0.000 0.410 x4

# 5
ZrAl2V2: optimized geometry, PBE-GGA.

M_tot = 0.000 μB/atom
formation energy = -151 meV/atom
ΔE to the lowest computed polymorph = 31.2 meV per atom

a b c (Å): 7.711 7.711 2.744
angles (deg): 90.00 90.00 90.00
Space group P4/mbm (No. 127)
Symmetry-distinct sites (fractional):
1 Zr 0.000 0.000 0.000 x2
2 Al 0.183 0.317 0.500 x4
3 V 0.109 0.609 0.000 x4

# 6
ZrAl2V: optimized geometry, PBE-GGA.

M_tot = 0.559 μB/atom
formation energy = -140 meV/atom
ΔE to the lowest computed polymorph = 138.7 meV per atom

a b c (Å): 6.505 6.505 6.505
angles (deg): 90.00 90.00 90.00
Space group Fm-3m (No. 225)
Symmetry-distinct sites (fractional):
1 Zr 0.000 0.000 0.000 x4
2 Al 0.250 0.250 0.250 x8
3 V 0.000 0.000 0.500 x4

# 7
ZrAl4V: optimized geometry, PBE-GGA.

M_tot = 0.000 μB/atom
formation energy = -251 meV/atom

a b c (Å): 7.323 7.323 7.323
angles (deg): 90.00 90.00 90.00
Space group F-43m (No. 216)
Symmetry-distinct sites (fractional):
1 Zr 0.000 0.000 0.000 x4
2 Al 0.125 0.125 0.625 x16
3 V 0.250 0.250 0.250 x4

# 8
Zr2AlV3: optimized geometry, PBE-GGA.

M_tot = 0.000 μB/atom
formation energy = -115 meV/atom

a b c (Å): 8.845 5.097 5.405
angles (deg): 90.00 123.08 90.00
Space group C2/m (No. 12)
Symmetry-distinct sites (fractional):
1 Zr 0.124 0.000 0.371 x4
2 Al 0.000 0.500 0.500 x2
3 V 0.000 0.500 0.000 x2
4 V 0.250 0.250 0.000 x4

# 9
ZrAl2V2: optimized geometry, PBE-GGA.

M_tot = 0.000 μB/atom
formation energy = -182 meV/atom
ΔE to the lowest computed polymorph = 0.0 meV per atom

a b c (Å): 3.687 3.687 12.294
angles (deg): 90.00 90.00 90.00
Space group I4/mmm (No. 139)
Symmetry-distinct sites (fractional):
1 Zr 0.000 0.000 0.000 x2
2 Al 0.000 0.000 0.399 x4
3 V 0.000 0.500 0.250 x4

# 10
Zr2Al2V15: optimized geometry, PBE-GGA.

M_tot = 0.000 μB/atom
formation energy = 65 meV/atom

a b c (Å): 9.0082 9.0082 12.2868
angles (deg): 90.00 90.00 120.00
Space group R-3m (No. 166, hexagonal axes)
Symmetry-distinct sites (fractional):
1 Zr 0.0000 0.0000 0.1526 x6
2 Al 0.0000 0.0000 0.3938 x6
3 V 0.0000 0.3100 0.5000 x18
4 V 0.0000 0.5000 0.0000 x9
5 V 0.0047 0.5023 0.6522 x18

# 11
ZrAlV3: optimized geometry, PBE-GGA.

M_tot = 0.000 μB/atom
formation energy = 1561 meV/atom
ΔE to the lowest computed polymorph = 582.0 meV per atom

a b c (Å): 4.626 4.626 4.626
angles (deg): 90.00 90.00 90.00
Space group Pm-3m (No. 221)
Symmetry-distinct sites (fractional):
1 Zr 0.000 0.000 0.000 x1
2 Al 0.500 0.500 0.500 x1
3 V 0.000 0.000 0.500 x3

# 12
ZrAl2V: optimized geometry, PBE-GGA.

M_tot = 0.619 μB/atom
formation energy = -196 meV/atom
ΔE to the lowest computed polymorph = 83.3 meV per atom

a b c (Å): 3.159 3.159 6.872
angles (deg): 90.00 90.00 90.00
Space group P4/mmm (No. 123)
Symmetry-distinct sites (fractional):
1 Zr 0.000 0.000 0.000 x1
2 Al 0.500 0.500 0.287 x2
3 V 0.000 0.000 0.500 x1

# 13
ZrAlV3: optimized geometry, PBE-GGA.

M_tot = 0.000 μB/atom
formation energy = 979 meV/atom
ΔE to the lowest computed polymorph = 0.0 meV per atom

a b c (Å): 4.515 4.515 4.515
angles (deg): 90.00 90.00 90.00
Space group Pm-3m (No. 221)
Symmetry-distinct sites (fractional):
1 Zr 0.000 0.000 0.000 x1
2 Al 0.500 0.500 0.500 x1
3 V 0.000 0.500 0.500 x3

# 14
ZrAl2V: optimized geometry, PBE-GGA.

M_tot = 0.000 μB/atom
formation energy = 308 meV/atom
ΔE to the lowest computed polymorph = 586.9 meV per atom

a b c (Å): 3.881 3.881 19.725
angles (deg): 90.00 90.00 90.00
Space group I-42d (No. 122)
Symmetry-distinct sites (fractional):
1 Zr 0.000 0.000 0.000 x4
2 Al 0.235 0.250 0.625 x8
3 V 0.000 0.000 0.500 x4

# 15
ZrAlV2: optimized geometry, PBE-GGA.

M_tot = 0.000 μB/atom
formation energy = -11 meV/atom

a b c (Å): 4.208 4.208 3.672
angles (deg): 90.00 90.00 90.00
Space group P4/mmm (No. 123)
Symmetry-distinct sites (fractional):
1 Zr 0.000 0.000 0.000 x1
2 Al 0.500 0.500 0.000 x1
3 V 0.000 0.500 0.500 x2

# 16
ZrAlV2: optimized geometry, PBE-GGA.

M_tot = 0.001 μB/atom
formation energy = 510 meV/atom

a b c (Å): 7.239 7.239 5.337
angles (deg): 90.00 90.00 90.00
Space group I-42d (No. 122)
Symmetry-distinct sites (fractional):
1 Zr 0.000 0.000 0.000 x4
2 Al 0.000 0.000 0.500 x4
3 V 0.226 0.750 0.625 x8

# 17
Zr2Al3V: optimized geometry, PBE-GGA.

M_tot = 0.073 μB/atom
formation energy = -414 meV/atom

a b c (Å): 5.3280 5.3280 12.9914
angles (deg): 90.00 90.00 120.00
Space group R-3m (No. 166, hexagonal axes)
Symmetry-distinct sites (fractional):
1 Zr 0.0000 0.0000 0.1285 x6
2 Al 0.0000 0.5000 0.0000 x9
3 V 0.0000 0.0000 0.5000 x3

# 18
ZrAl3V: optimized geometry, PBE-GGA.

M_tot = 0.560 μB/atom
formation energy = 1230 meV/atom
ΔE to the lowest computed polymorph = 1240.2 meV per atom

a b c (Å): 5.082 5.082 5.082
angles (deg): 90.00 90.00 90.00
Space group Pm-3m (No. 221)
Symmetry-distinct sites (fractional):
1 Zr 0.000 0.000 0.000 x1
2 Al 0.000 0.000 0.500 x3
3 V 0.500 0.500 0.500 x1

# 19
AlW5: optimized geometry, PBE-GGA.

M_tot = 0.000 μB/atom
formation energy = 327 meV/atom
ΔE to the lowest computed polymorph = 297.7 meV per atom

a b c (Å): 4.8312 4.8312 4.7837
angles (deg): 90.00 90.00 120.00
Space group P-62m (No. 189)
Symmetry-distinct sites (fractional):
1 Al 0.0000 0.0000 0.0000 x1
2 W 0.0000 0.6700 0.5000 x3
3 W 0.3333 0.6667 0.0000 x2

# 20
AlW2: optimized geometry, PBE-GGA.

M_tot = 0.000 μB/atom
formation energy = 161 meV/atom

a b c (Å): 6.096 6.096 5.010
angles (deg): 90.00 90.00 90.00
Space group I4/mcm (No. 140)
Symmetry-distinct sites (fractional):
1 Al 0.000 0.000 0.250 x4
2 W 0.155 0.345 0.000 x8